Na2CaTeH: optimized geometry, PBE-GGA.

Lattice parameters (Å, degrees): 4.7276 4.7276 4.9770 90.00 90.00 90.00
Space group P4/mmm (No. 123)
One atom of each set of equivalent atoms:
Na1 0.0000 0.5000 0.0000
Ca1 0.0000 0.0000 0.5000
Te1 0.5000 0.5000 0.5000
H1 0.0000 0.0000 0.0000

Output
* uncorrected energy: -2.787 eV/atom

***

NaCa2TeH: optimized geometry, PBE-GGA.

Lattice parameters (Å, degrees): 5.0171 5.0171 4.6686 90.00 90.00 90.00
Space group P4/mmm (No. 123)
One atom of each set of equivalent atoms:
Na1 0.0000 0.0000 0.0000
Ca1 0.0000 0.5000 0.5000
Te1 0.5000 0.5000 0.0000
H1 0.0000 0.0000 0.5000

Output
* uncorrected energy: -2.863 eV/atom

***

NaCaTl2H: optimized geometry, PBE-GGA.

Lattice parameters (Å, degrees): 5.3380 5.3380 4.2660 90.00 90.00 90.00
Space group P4/mmm (No. 123)
One atom of each set of equivalent atoms:
Na1 0.0000 0.0000 0.0000
Ca1 0.5000 0.5000 0.0000
Tl1 0.0000 0.5000 0.5000
H1 0.5000 0.5000 0.5000

Output
* uncorrected energy: -2.395 eV/atom

***

Na2CaZnH: optimized geometry, PBE-GGA.

Lattice parameters (Å, degrees): 4.7273 4.7273 4.8911 90.00 90.00 90.00
Space group P4/mmm (No. 123)
One atom of each set of equivalent atoms:
Na1 0.0000 0.5000 0.0000
Ca1 0.0000 0.0000 0.5000
Zn1 0.5000 0.5000 0.5000
H1 0.0000 0.0000 0.0000

Output
* uncorrected energy: -1.926 eV/atom

***

CaNbH: optimized geometry, PBE-GGA.

Lattice parameters (Å, degrees): 3.0859 3.4767 10.6173 90.76 93.35 113.18
Space group P-1 (No. 2)
One atom of each set of equivalent atoms:
Ca1 0.1249 0.2723 0.3442
Nb1 0.2351 0.2484 0.9065
H1 0.3459 0.8415 0.2208

Output
* ΔE to the lowest computed polymorph: 0.162 eV per atom

***

CaNbH: optimized geometry, PBE-GGA.

Lattice parameters (Å, degrees): 3.1573 4.9411 6.6274 85.73 85.90 85.81
Space group P1 (No. 1)
One atom of each set of equivalent atoms:
Ca1 0.0000 0.0000 0.0000
Ca2 0.0778 0.4865 0.3073
Nb1 0.4373 0.9619 0.5429
Nb2 0.6667 0.5176 0.7405
H1 0.2204 0.2690 0.7171
H2 0.5165 0.8401 0.2651

Output
* ΔE to the lowest computed polymorph: 0.214 eV per atom

***

CaNbH: optimized geometry, PBE-GGA.

Lattice parameters (Å, degrees): 10.9865 3.3280 5.4395 90.00 90.00 90.00
Space group Amm2 (No. 38)
One atom of each set of equivalent atoms:
Ca1 0.1488 0.0000 0.0000
Nb1 0.3839 0.0000 0.3674
H1 0.0000 0.0000 0.3361
H2 0.5000 0.0000 0.0334

Output
* ΔE to the lowest computed polymorph: 0.387 eV per atom

***

CaNbH: optimized geometry, PBE-GGA.

Lattice parameters (Å, degrees): 5.1589 5.1589 5.9723 90.00 90.00 120.00
Space group P-6m2 (No. 187)
One atom of each set of equivalent atoms:
Ca1 0.0000 0.0000 0.2485
Nb1 0.6667 0.3333 0.1786
H1 0.3333 0.6667 0.0000
H2 0.3333 0.6667 0.5000

Output
* ΔE to the lowest computed polymorph: 1.629 eV per atom

***

CaNbH2: optimized geometry, PBE-GGA.

Lattice parameters (Å, degrees): 5.8915 5.8915 5.8915 90.00 90.00 90.00
Space group Fm-3m (No. 225)
One atom of each set of equivalent atoms:
Ca1 0.0000 0.0000 0.0000
Nb1 0.0000 0.0000 0.5000
H1 0.2500 0.2500 0.2500

Output
* ΔE to the lowest computed polymorph: 0.819 eV per atom

***

CaNbH: optimized geometry, PBE-GGA.

Lattice parameters (Å, degrees): 3.5078 3.5078 9.3457 90.00 90.00 90.00
Space group P4/nmm (No. 129, origin choice 2)
One atom of each set of equivalent atoms:
Ca1 0.2500 0.2500 0.1949
Nb1 0.2500 0.2500 0.5603
H1 0.2500 0.2500 0.7739

Output
* ΔE to the lowest computed polymorph: 0.000 eV per atom

***

CaNbH: optimized geometry, PBE-GGA.

Lattice parameters (Å, degrees): 3.2309 3.2309 13.1588 90.00 90.00 120.00
Space group P6_3/mmc (No. 194)
One atom of each set of equivalent atoms:
Ca1 0.0000 0.0000 0.2500
Nb1 0.0000 0.0000 0.0000
H1 0.3333 0.6667 0.2500

Output
* ΔE to the lowest computed polymorph: 0.967 eV per atom

***

CaNbH: optimized geometry, PBE-GGA.

Lattice parameters (Å, degrees): 3.1800 5.5332 6.2334 102.94 93.80 91.96
Space group P1 (No. 1)
One atom of each set of equivalent atoms:
Ca1 0.0000 0.0000 0.0000
Ca2 0.0140 0.5633 0.3358
Nb1 0.4080 0.4607 0.7849
Nb2 0.5965 0.1057 0.5254
H1 0.5421 0.2226 0.2526
H2 0.9222 0.5817 0.9675

Output
* ΔE to the lowest computed polymorph: 0.233 eV per atom

***

M_tot across the listed records, respectively: 0.0, 0.0, 0.0, 0.0, 0.0, 0.0, 0.3, 0.0, 6.2, 0.0, 1.4, 0.0 μB per cell.